#A
The following is a DFT calculation (GGA-PBE) of RbP2H2 after structural relaxation. Values from VASP.

Structure (Quantum ESPRESSO input):
```
&SYSTEM
  ibrav = 0, nat = 10, ntyp = 3
/
ATOMIC_SPECIES
Rb 85.47 Rb.upf
P 30.97 P.upf
H 1.01 H.upf
ATOMIC_POSITIONS crystal
Rb 0.000 0.000 0.000
Rb 0.500 0.500 0.000
P 0.095 0.405 0.500
P 0.405 0.905 0.500
P 0.595 0.095 0.500
P 0.905 0.595 0.500
H 0.084 0.584 0.000
H 0.416 0.084 0.000
H 0.584 0.916 0.000
H 0.916 0.416 0.000
CELL_PARAMETERS angstrom
7.662 0.000 0.000
0.000 7.662 0.000
0.000 0.000 3.226
```

Output
symmetry: P4/mbm, No. 127
magnetization: 0.0 μB per cell


#B
The following is a DFT calculation (GGA-PBE) of RbP2H2 after structural relaxation. Values from VASP.

Structure (Quantum ESPRESSO input):
```
&SYSTEM
  ibrav = 0, nat = 10, ntyp = 3
/
ATOMIC_SPECIES
Rb 85.47 Rb.upf
P 30.97 P.upf
H 1.01 H.upf
ATOMIC_POSITIONS crystal
Rb 0.000 0.000 0.000
Rb 0.500 0.500 0.500
P 0.000 0.500 0.250
P 0.000 0.500 0.750
P 0.500 0.000 0.250
P 0.500 0.000 0.750
H 0.000 0.000 0.367
H 0.000 0.000 0.633
H 0.500 0.500 0.133
H 0.500 0.500 0.867
CELL_PARAMETERS angstrom
3.489 0.000 0.000
0.000 3.489 0.000
0.000 0.000 12.268
```

Output
symmetry: I4/mmm, No. 139
magnetization: 0.0 μB per cell


Most stable structure, least stable structure: #B, #A.


#A
The following is a DFT calculation (GGA-PBE) of RePH2 after structural relaxation. Values from VASP.

Structure (Quantum ESPRESSO input):
```
&SYSTEM
  ibrav = 0, nat = 16, ntyp = 3
/
ATOMIC_SPECIES
Re 186.21 Re.upf
P 30.97 P.upf
H 1.01 H.upf
ATOMIC_POSITIONS crystal
Re 0.000 0.000 0.000
Re 0.000 0.500 0.500
Re 0.500 0.000 0.500
Re 0.500 0.500 0.000
P 0.000 0.000 0.500
P 0.000 0.500 0.000
P 0.500 0.000 0.000
P 0.500 0.500 0.500
H 0.250 0.250 0.250
H 0.250 0.250 0.750
H 0.250 0.750 0.250
H 0.250 0.750 0.750
H 0.750 0.250 0.250
H 0.750 0.250 0.750
H 0.750 0.750 0.250
H 0.750 0.750 0.750
CELL_PARAMETERS angstrom
5.155 0.000 0.000
0.000 5.155 0.000
0.000 0.000 5.155
```

Output
symmetry: Fm-3m, No. 225
magnetization: 0.0 μB per cell


#B
The following is a DFT calculation (GGA-PBE) of RePH2 after structural relaxation. Values from VASP.

Structure (Quantum ESPRESSO input):
```
&SYSTEM
  ibrav = 0, nat = 16, ntyp = 3
/
ATOMIC_SPECIES
Re 186.21 Re.upf
P 30.97 P.upf
H 1.01 H.upf
ATOMIC_POSITIONS crystal
Re 0.000 0.000 0.000
Re 0.000 0.500 0.250
Re 0.500 0.000 0.750
Re 0.500 0.500 0.500
P 0.000 0.000 0.500
P 0.000 0.500 0.750
P 0.500 0.000 0.250
P 0.500 0.500 0.000
H 0.177 0.250 0.125
H 0.250 0.677 0.375
H 0.250 0.823 0.875
H 0.323 0.250 0.625
H 0.677 0.750 0.625
H 0.750 0.177 0.875
H 0.750 0.323 0.375
H 0.823 0.750 0.125
CELL_PARAMETERS angstrom
5.593 0.000 0.000
0.000 5.593 0.000
0.000 0.000 4.675
```

Output
symmetry: I-42d, No. 122
magnetization: 0.0 μB per cell


Most stable structure, least stable structure: #B, #A.


#A
The following is a DFT calculation (GGA-PBE) of RePHS2 after structural relaxation. Values from VASP.

Structure (Quantum ESPRESSO input):
```
&SYSTEM
  ibrav = 0, nat = 5, ntyp = 4
/
ATOMIC_SPECIES
Re 186.21 Re.upf
P 30.97 P.upf
H 1.01 H.upf
S 32.06 S.upf
ATOMIC_POSITIONS crystal
Re 0.000 0.000 0.000
P 0.000 0.000 0.500
H 0.500 0.500 0.500
S 0.000 0.500 0.000
S 0.500 0.000 0.000
CELL_PARAMETERS angstrom
4.640 0.000 0.000
0.000 4.640 0.000
0.000 0.000 4.666
```

Output
symmetry: P4/mmm, No. 123
magnetization: 1.0 μB per cell


#B
The following is a DFT calculation (GGA-PBE) of RePHS2 after structural relaxation. Values from VASP.

Structure (Quantum ESPRESSO input):
```
&SYSTEM
  ibrav = 0, nat = 5, ntyp = 4
/
ATOMIC_SPECIES
Re 186.21 Re.upf
P 30.97 P.upf
H 1.01 H.upf
S 32.06 S.upf
ATOMIC_POSITIONS crystal
Re 0.000 0.000 0.000
P 0.500 0.500 0.000
H 0.500 0.500 0.500
S 0.000 0.500 0.500
S 0.500 0.000 0.500
CELL_PARAMETERS angstrom
4.352 0.000 0.000
0.000 4.352 0.000
0.000 0.000 3.149
```

Output
symmetry: P4/mmm, No. 123
magnetization: 0.0 μB per cell


#C
The following is a DFT calculation (GGA-PBE) of RePHS2 after structural relaxation. Values from VASP.

Structure (Quantum ESPRESSO input):
```
&SYSTEM
  ibrav = 0, nat = 5, ntyp = 4
/
ATOMIC_SPECIES
Re 186.21 Re.upf
P 30.97 P.upf
H 1.01 H.upf
S 32.06 S.upf
ATOMIC_POSITIONS crystal
Re 0.000 0.000 0.000
P 0.500 0.500 0.000
H 0.000 0.000 0.500
S 0.000 0.500 0.500
S 0.500 0.000 0.500
CELL_PARAMETERS angstrom
4.420 0.000 0.000
0.000 4.420 0.000
0.000 0.000 3.280
```

Output
symmetry: P4/mmm, No. 123
magnetization: 0.0 μB per cell


Most stable structure, least stable structure: #A, #C.


#A
The following is a DFT calculation (GGA-PBE) of PHRhS2 after structural relaxation. Values from VASP.

Structure (Quantum ESPRESSO input):
```
&SYSTEM
  ibrav = 0, nat = 5, ntyp = 4
/
ATOMIC_SPECIES
P 30.97 P.upf
H 1.01 H.upf
Rh 102.91 Rh.upf
S 32.06 S.upf
ATOMIC_POSITIONS crystal
P 0.000 0.000 0.000
H 0.500 0.500 0.000
Rh 0.000 0.000 0.500
S 0.000 0.500 0.500
S 0.500 0.000 0.500
CELL_PARAMETERS angstrom
4.818 0.000 0.000
0.000 4.818 0.000
0.000 0.000 4.429
```

Output
symmetry: P4/mmm, No. 123
magnetization: 0.9 μB per cell


#B
The following is a DFT calculation (GGA-PBE) of PHRhS2 after structural relaxation. Values from VASP.

Structure (Quantum ESPRESSO input):
```
&SYSTEM
  ibrav = 0, nat = 5, ntyp = 4
/
ATOMIC_SPECIES
P 30.97 P.upf
H 1.01 H.upf
Rh 102.91 Rh.upf
S 32.06 S.upf
ATOMIC_POSITIONS crystal
P 0.000 0.000 0.000
H 0.000 0.000 0.500
Rh 0.500 0.500 0.000
S 0.000 0.500 0.500
S 0.500 0.000 0.500
CELL_PARAMETERS angstrom
4.344 0.000 0.000
0.000 4.344 0.000
0.000 0.000 3.287
```

Output
symmetry: P4/mmm, No. 123
magnetization: 0.0 μB per cell


Most stable structure, least stable structure: #B, #A.